[1]
Pr5Hg | PBE | relaxed

Cell lengths 3.8324, 9.1118, 6.6721 Å; angles 65.82, 73.31, 77.86 degrees
Positions (direct):
1 Hg 0.7168 0.0837 0.4828
2 Pr 0.0376 0.4024 0.5223
3 Pr 0.3337 0.2807 0.0519
4 Pr 0.6724 0.6340 0.0212
5 Pr 0.3678 0.7805 0.4839
6 Pr 0.0384 0.9854 0.9379

Summary:
DFT formation energy (eV/atom): -0.1393
Symmetry: Cm (8)
DOS(E_F) (states/eV/cell): 6.9
Energy above the lowest structure with this stoichiometry (eV per atom): 0.0121
Magnetic moment (Bohr magnetons per cell): 0.0



[2]
ZnAgSb | PBE | relaxed

Cell lengths 6.4489, 5.7738, 6.8325 Å; angles 90.00, 99.95, 90.00 degrees
Positions (direct):
1 Sb 0.6835 0.5000 0.2111
2 Sb 0.3165 0.5000 0.7889
3 Sb 0.3165 0.0000 0.2889
4 Sb 0.6835 0.0000 0.7111
5 Zn 0.2836 0.0000 0.8189
6 Zn 0.7164 0.0000 0.1811
7 Zn 0.2836 0.5000 0.3189
8 Zn 0.7164 0.5000 0.6811
9 Ag 0.0000 0.7543 0.5000
10 Ag 0.0000 0.7457 0.0000
11 Ag 0.0000 0.2457 0.5000
12 Ag 0.0000 0.2543 0.0000

Summary:
Symmetry: C2/m (12)
ΔE_f (raw) (meV/atom): 58
DOS(E_F) (states/eV/cell): 3.6
Magnetic moment (Bohr magnetons per cell): 0.0



Going through the records in order, we get energy values of -4.173 -2.691 eV/atom.